Li3In | SCAN | single point on PBEsol structure

Lattice parameters (Å, degrees): 5.3748 5.3748 5.3748 116.50 116.50 116.50
Fractional positions:
Li 0.0000 0.5000 0.5000
Li 0.5000 0.0000 0.5000
Li 0.5000 0.5000 0.0000
In 0.0000 0.0000 0.0000

Output
- calculated density (Mg/m³) = 3.1
- excess energy over the best structure of this formula in the dataset (meV per atom) = 67



ZrTa2Tc | SCAN | single point on PBEsol structure

Lattice parameters (Å, degrees): 4.5914 4.5914 4.5914 60.00 60.00 60.00
Fractional positions:
Zr 0.0000 0.0000 0.0000
Ta 0.2500 0.2500 0.2500
Ta 0.7500 0.7500 0.7500
Tc 0.5000 0.5000 0.5000

Output
- calculated density (Mg/m³) = 13.4
- excess energy over the best structure of this formula in the dataset (meV per atom) = 165



InIr2Se | SCAN | single point on PBEsol structure

Lattice parameters (Å, degrees): 5.0420 5.0420 4.8616 102.15 102.15 34.01
Fractional positions:
In 0.0000 0.0000 0.0000
Ir 0.2413 0.2413 0.7626
Ir 0.4969 0.4969 0.4982
Se 0.7791 0.7791 0.3753

Output
- formation energy (no corrections) (eV per formula unit) = 1.11
- calculated density (Mg/m³) = 14.2
- excess energy over the best structure of this formula in the dataset (meV per atom) = 0



NdCd2 | SCAN | single point on PBEsol structure

Lattice parameters (Å, degrees): 5.0052 5.0052 3.3358 90.00 90.00 120.00
Fractional positions:
Nd 0.0000 0.0000 0.0000
Cd 0.3333 0.6667 0.5000
Cd 0.6667 0.3333 0.5000

Output
- final energy (eV/cell) = -105.723
- calculated density (Mg/m³) = 8.5



Mn2AlHg | SCAN | single point on PBEsol structure

Lattice parameters (Å, degrees): 2.8264 3.6554 5.6531 90.00 90.00 90.00
Fractional positions:
Mn 0.0000 0.0000 0.2259
Mn 0.0000 0.0000 0.7741
Al 0.5000 0.5000 0.0000
Hg 0.5000 0.5000 0.5000

Output
- final energy (eV/cell) = -113.026
- calculated density (Mg/m³) = 9.6



Zr2ScNbCr | SCAN | single point on PBEsol structure

Lattice parameters (Å, degrees): 4.7137 4.7137 4.6866 90.00 90.00 90.00
Fractional positions:
Zr 0.0000 0.5000 0.0000
Zr 0.5000 0.0000 0.0000
Sc 0.0000 0.0000 0.5000
Nb 0.5000 0.5000 0.5000
Cr 0.0000 0.0000 0.0000

Output
- final energy (eV/cell) = -123.352
- calculated density (Mg/m³) = 5.9



Co2CuSi | SCAN | single point on PBEsol structure

Lattice parameters (Å, degrees): 4.5713 4.5713 4.5713 144.68 127.84 64.57
Fractional positions:
Co 0.2290 0.2290 0.0000
Co 0.7710 0.7710 0.0000
Cu 0.5000 0.0000 0.5000
Si 0.0000 0.5000 0.5000

Output
- formation energy (no corrections) (eV per formula unit) = -0.33
- calculated density (Mg/m³) = 8.1



InCu2Ru | SCAN | single point on PBEsol structure

Lattice parameters (Å, degrees): 3.8229 3.8229 3.8155 90.00 90.00 90.00
Fractional positions:
In 0.0000 0.0000 0.0000
Cu 0.0000 0.5000 0.5000
Cu 0.5000 0.0000 0.5000
Ru 0.5000 0.5000 0.0000

Output
- final energy (eV/cell) = -98.198
- calculated density (Mg/m³) = 10.2